Record 1
This record from the Alexandria database describes Fe4OsRu after structural relaxation. The functional is PBE.

a = 4.658 Å, b = 4.658 Å, c = 4.658 Å
α = 60.00°, β = 60.00°, γ = 60.00°
Atoms (fractional coordinates):
1 Fe 0.875 0.375 0.375
2 Fe 0.375 0.375 0.875
3 Fe 0.375 0.875 0.375
4 Fe 0.375 0.375 0.375
5 Os 0.750 0.750 0.750
6 Ru 0.000 0.000 0.000

## Properties
- ΔE_f (meV/atom) = 117

Record 2
This record from the Alexandria database describes RbCo2Cl after structural relaxation. The functional is PBE.

a = 4.974 Å, b = 4.974 Å, c = 8.008 Å
α = 71.91°, β = 71.91°, γ = 90.00°
Atoms (fractional coordinates):
1 Co 0.375 0.125 0.250
2 Co 0.375 0.625 0.250
3 Co 0.375 0.625 0.750
4 Co 0.875 0.625 0.750
5 Rb 0.000 0.000 0.000
6 Rb 0.750 0.250 0.500
7 Cl 0.500 0.500 0.000
8 Cl 0.250 0.750 0.500

## Properties
- formation energy without anion corrections (eV per atom) = 0.504
- polymorph energy (0 for the lowest one) (eV/atom) = 0.000

Record 3
This record from the Alexandria database describes SrBe3Bi after structural relaxation. The functional is PBE.

a = 5.031 Å, b = 5.031 Å, c = 5.031 Å
α = 90.00°, β = 90.00°, γ = 90.00°
Atoms (fractional coordinates):
1 Sr 0.500 0.500 0.500
2 Bi 0.000 0.000 0.000
3 Be 0.000 0.500 0.000
4 Be 0.000 0.000 0.500
5 Be 0.500 0.000 0.000

## Properties
- ΔE_f (meV/atom) = 1011
- polymorph energy (0 for the lowest one) (eV/atom) = 0.000